Computed, not measured: Ti3Sn2O10 after structural relaxation at the PBE level of DFT.

a b c (Å): 6.6755 6.6818 15.4376
angles (deg): 90.00 90.00 90.00
With the nearest neighbours (Å) after each atom.
Space group Cmm2 (No. 35)
Unique sites:
Ti 0.0000 0.0000 0.0000 x2  6 O 1.92-2.04
Ti 0.0000 0.0000 0.1913 x2  6 O 1.96-2.00
Ti 0.0000 0.0000 0.3908 x2  6 O 1.96-2.01
Ti 0.0000 0.0000 0.5901 x2  6 O 1.96-2.00
Ti 0.0000 0.5000 0.0901 x2  6 O 1.94-2.05
Ti 0.0000 0.5000 0.6875 x2  6 O 1.97-2.01
Sn 0.0000 0.0000 0.7898 x2  6 O 2.07-2.11
Sn 0.0000 0.5000 0.2875 x2  6 O 2.07-2.09
Sn 0.0000 0.5000 0.4910 x2  6 O 2.07-2.09
Sn 0.0000 0.5000 0.8933 x2  6 O 2.07-2.10
O 0.0000 0.1865 0.2890 x4  2 Ti 1.96-2.01, 1 Sn 2.09
O 0.0000 0.1866 0.4891 x4  2 Ti 1.96-2.00, 1 Sn 2.09
O 0.0000 0.1907 0.8969 x4  1 Ti 2.04, 2 Sn 2.07-2.09
O 0.0000 0.1933 0.0921 x4  3 Ti 1.92-2.05
O 0.0000 0.1989 0.6836 x4  2 Ti 1.96-2.01, 1 Sn 2.11
O 0.1903 0.5000 0.7858 x4  1 Ti 1.98, 2 Sn 2.07-2.09
O 0.1986 0.5000 0.9987 x4  2 Ti 1.94-2.01, 1 Sn 2.10
O 0.2002 0.5000 0.1850 x4  2 Ti 1.98-2.00, 1 Sn 2.07
O 0.1999 0.5000 0.5939 x4  2 Ti 1.97-2.00, 1 Sn 2.07
O 0.2034 0.5000 0.3893 x4  1 Ti 1.98, 2 Sn 2.08

* E_form (uncorrected): -2429.0 meV per atom
* total energy: -0.5768 Ry per atom
* calculated volume: 689 Å³ per cell

Computed, not measured: TmAg8Hg2 after structural relaxation at the PBE level of DFT.

a b c (Å): 13.2995 7.7127 4.9437
angles (deg): 90.00 102.77 90.00
With the nearest neighbours (Å) after each atom.
Space group C2/m (No. 12)
Unique sites:
Tm 0.0000 0.0000 0.0000 x2  6 Ag 2.91-3.15, 4 Hg 3.01-3.17
Ag 0.0660 0.3180 0.7736 x8  7 Ag 2.81-3.14, 1 Tm 2.91, 1 Hg 2.93
Ag 0.1307 0.5000 0.3044 x4  8 Ag 2.92-3.00, 1 Hg 2.93
Ag 0.2431 0.0000 0.1252 x4  2 Hg 2.79-2.80, 4 Ag 2.85-2.98
Hg 0.1433 0.0000 0.5646 x4  5 Ag 2.79-2.93, 1 Tm 3.01

* total energy: -0.1775 Ry per atom
* calculated formation energy: 121 meV/atom
* calculated volume: 495 Å³ per cell

Computed, not measured: MgInBRh2 after structural relaxation at the PBE level of DFT.

a b c (Å): 4.1551 4.1551 4.3648
angles (deg): 90.00 90.00 90.00
With the nearest neighbours (Å) after each atom.
Space group P4/mmm (No. 123)
Unique sites:
Mg 0.0000 0.0000 0.0000 x1  2 B 2.18
In 0.5000 0.5000 0.0000 x1  4 Mg 2.94, 8 Rh 3.01
B 0.0000 0.0000 0.5000 x1  4 Rh 2.08, 2 Mg 2.18
Rh 0.0000 0.5000 0.5000 x2  2 B 2.08

* total energy: -0.3990 Ry per atom
* calculated formation energy: -287 meV/atom
* calculated volume: 75 Å³ per cell

Computed, not measured: NbPRhS2 after structural relaxation at the PBE level of DFT.

a b c (Å): 4.7144 4.7144 4.8684
angles (deg): 90.00 90.00 90.00
With the nearest neighbours (Å) after each atom.
Space group P4/mmm (No. 123)
Unique sites:
Nb 0.0000 0.0000 0.0000 x1  4 S 2.36, 2 P 2.43
P 0.0000 0.0000 0.5000 x1  2 Nb 2.43
Rh 0.5000 0.5000 0.5000 x1  4 P 3.33, 8 S 3.39
S 0.0000 0.5000 0.0000 x2  2 Nb 2.36

* E_form (uncorrected): 520.6 meV per atom
* total energy: -0.4187 Ry per atom
* calculated volume: 108 Å³ per cell

Computed, not measured: Zr2CuAs after structural relaxation at the PBE level of DFT.

a b c (Å): 3.7552 3.7552 19.5287
angles (deg): 90.00 90.00 120.00
With the nearest neighbours (Å) after each atom.
Space group R-3m (No. 166, hexagonal axes)
Unique sites:
Zr 0.0000 0.0000 0.2484 x6  3 As 2.69, 3 Cu 2.73
Cu 0.0000 0.0000 0.0000 x3  6 Zr 2.73
As 0.0000 0.0000 0.5000 x3  6 Zr 2.69

* total energy: -0.5141 Ry per atom
* calculated formation energy: -534 meV/atom
* calculated volume: 238 Å³ per cell

Computed, not measured: Cs2MgAlI6 after structural relaxation at the PBE level of DFT.

a b c (Å): 8.3530 8.3530 11.8352
angles (deg): 90.00 90.00 90.00
With the nearest neighbours (Å) after each atom.
Space group I4/mmm (No. 139)
Unique sites:
Cs 0.0000 0.5000 0.2500 x4  12 I 4.18
Mg 0.0000 0.0000 0.0000 x2  6 I 2.98
Al 0.0000 0.0000 0.5000 x2  6 I 2.93
I 0.0000 0.0000 0.2521 x4  1 Al 2.93, 1 Mg 2.98
I 0.2477 0.2477 0.5000 x8  1 Al 2.93, 1 Mg 2.98

* E_form (uncorrected): -1015.8 meV per atom
* total energy: -0.1948 Ry per atom
* calculated volume: 826 Å³ per cell

Number 1: magnetic moment 0.000 μB/f.u.. Number 2: magnetic moment 0.000 μB/f.u.. Number 3: magnetic moment 0.000 μB/f.u.. Number 4: magnetic moment 1.548 μB/f.u.. Number 5: magnetic moment 0.000 μB/f.u.. Number 6: magnetic moment 0.000 μB/f.u..